AcEuGaBi | PBE | optimized geometry

calculated volume = 32.15 Å³/atom
N(E_F) = 3.09 states/eV per cell

Lattice parameters (Å, degrees): 5.6657 5.6657 5.6657 60.00 60.00 60.00
Closest atoms and distances in Å follow each position.
Sites, in units of the cell vectors:
Ac  0.0000  0.0000  0.0000  4 Bi 3.47, 4 Ga 3.47
Ga  0.2500  0.2500  0.2500  4 Ac 3.47, 4 Eu 3.47
Eu  0.5000  0.5000  0.5000  4 Ga 3.47, 4 Bi 3.47
Bi  0.7500  0.7500  0.7500  4 Eu 3.47, 4 Ac 3.47


GaBRu3 | PBE | optimized geometry

calculated volume = 17.47 Å³/atom
N(E_F) = 4.37 states/eV per cell

Lattice parameters (Å, degrees): 4.4367 4.4367 4.4367 90.00 90.00 90.00
Closest atoms and distances in Å follow each position.
Sites, in units of the cell vectors:
Ru  0.0000  0.5000  0.0000  2 Ga 2.22
Ru  0.0000  0.0000  0.5000  2 Ga 2.22
Ru  0.5000  0.0000  0.0000  2 Ga 2.22
Ga  0.0000  0.0000  0.0000  6 Ru 2.22
B  0.5000  0.5000  0.5000  12 Ru 3.14


Pm2PrSm4Tm | PBE | optimized geometry

calculated volume = 34.42 Å³/atom
N(E_F) = 40.09 states/eV per cell

Lattice parameters (Å, degrees): 9.6022 9.6021 11.9182 128.33 128.33 88.41
Closest atoms and distances in Å follow each position.
Sites, in units of the cell vectors:
Tm  0.5000  0.5000  0.5000  6 Sm 3.26-3.42, 2 Tm 3.45
Tm  0.0000  0.0000  0.0000  6 Sm 3.26-3.42, 2 Tm 3.45
Sm  0.7549  0.7559  0.5095  3 Pm 3.34-3.51, 1 Pr 3.35, 2 Tm 3.38-3.42, 2 Sm 3.45
Sm  0.2443  0.7566  0.9996  1 Tm 3.27, 3 Pm 3.43-3.45, 2 Pr 3.44-3.45, 2 Sm 3.45-3.46
Sm  0.7441  0.7451  0.9905  3 Pm 3.34-3.51, 1 Pr 3.35, 2 Tm 3.38-3.42, 2 Sm 3.45
Sm  0.2559  0.2549  0.0095  3 Pm 3.34-3.51, 1 Pr 3.35, 2 Tm 3.38-3.42, 2 Sm 3.45
Sm  0.7434  0.2557  0.5004  1 Tm 3.27, 3 Pm 3.43-3.45, 2 Pr 3.44-3.45, 2 Sm 3.45-3.46
Sm  0.2451  0.2441  0.4905  3 Pm 3.34-3.51, 1 Pr 3.35, 2 Tm 3.38-3.42, 2 Sm 3.45
Sm  0.7557  0.2434  0.0004  1 Tm 3.26, 3 Pm 3.43-3.45, 2 Pr 3.44-3.45, 2 Sm 3.45-3.46
Sm  0.2566  0.7443  0.4996  1 Tm 3.26, 3 Pm 3.43-3.45, 2 Pr 3.44-3.45, 2 Sm 3.45-3.46
Pr  0.0000  0.5000  0.0000  6 Sm 3.35-3.45, 2 Pm 3.45
Pr  0.0000  0.5000  0.5000  6 Sm 3.35-3.45, 2 Pm 3.45
Pm  0.5000  0.0000  0.5000  6 Sm 3.34-3.45, 2 Pr 3.45
Pm  0.5000  0.0000  0.0000  6 Sm 3.34-3.45, 2 Pr 3.45
Pm  0.0000  0.0000  0.5000  6 Sm 3.43-3.51, 2 Pm 3.45
Pm  0.5000  0.5000  0.0000  6 Sm 3.43-3.51, 2 Pm 3.45


| no. | formation energy (eV/atom) |
| --- | --- |
| 1 | -0.5295 |
| 2 | 2.1578 |
| 3 | 0.3892 |